No. 1
Computed, not measured: a relaxed SrGaRuF2 crystal at the PBE-GGA level of DFT.

Structure (extended XYZ):
```
5
Lattice="4.415 0.000 0.000 0.000 4.415 0.000 0.000 0.000 7.079" Properties=species:S:1:pos:R:3 pbc="T T T"
Sr 0.000 0.000 0.000
Ga 2.208 2.208 3.539
Ru 0.000 0.000 3.539
F 0.000 2.208 0.000
F 2.208 0.000 0.000
```

Results
- Size of the total moment: 2.4 μB per cell
- Final energy: -4.56 eV/atom
- Energy relative to the elements, uncorrected: -5.1 eV/f.u.
- ρ: 3.6 g/cm³
- V: 138.0 Å³/cell
- Crystal system: tetragonal

***

No. 2
Computed, not measured: a relaxed TlSi2Se crystal at the PBE-GGA level of DFT.

Structure (extended XYZ):
```
4
Lattice="-2.048 2.048 5.191 2.048 -2.048 5.191 2.048 2.048 -5.191" Properties=species:S:1:pos:R:3 pbc="T T T"
Tl 0.000 0.000 0.000
Si 2.048 0.000 2.596
Si 0.000 2.048 2.596
Se 0.000 0.000 5.191
```

Results
- Excess energy over the best structure of this formula in the dataset: 457 meV/atom
- Size of the total moment: 0.0 μB per cell
- Final energy: -3.57 eV/atom
- Energy relative to the elements, uncorrected: 2.4 eV/f.u.
- ρ: 6.5 g/cm³
- V: 87.1 Å³/cell
- Crystal system: tetragonal

***

No. 3
Computed, not measured: a relaxed BaTiCo2 crystal at the PBE-GGA level of DFT.

Structure (extended XYZ):
```
8
Lattice="-2.490 2.490 7.633 2.490 -2.490 7.633 2.490 2.490 -7.633" Properties=species:S:1:pos:R:3 pbc="T T T"
Ba 2.490 1.245 1.908
Ba 0.000 1.245 5.725
Ti 2.490 -1.245 5.725
Ti 0.000 3.735 1.908
Co 0.000 0.000 0.000
Co 1.245 1.245 -3.816
Co 1.245 -1.245 3.816
Co 0.000 2.490 0.000
```

Results
- Excess energy over the best structure of this formula in the dataset: 0 meV/atom
- Size of the total moment: 0.8 μB per cell
- Final energy: -5.50 eV/atom
- ρ: 5.3 g/cm³
- V: 189.3 Å³/cell
- Crystal system: tetragonal
- DFT formation energy: 2.0 eV/f.u.

***

No. 4
Computed, not measured: a relaxed CuRhSCl2 crystal at the PBE-GGA level of DFT.

Structure (extended XYZ):
```
5
Lattice="4.933 0.000 0.000 0.000 4.933 0.000 0.000 0.000 4.450" Properties=species:S:1:pos:R:3 pbc="T T T"
Cu 0.000 0.000 0.000
Rh 2.467 2.467 2.225
S 2.467 2.467 0.000
Cl 0.000 2.467 2.225
Cl 2.467 0.000 2.225
```

Results
- Excess energy over the best structure of this formula in the dataset: 0 meV/atom
- Size of the total moment: 0.0 μB per cell
- Final energy: -3.60 eV/atom
- Energy relative to the elements, uncorrected: 1.3 eV/f.u.
- ρ: 4.1 g/cm³
- V: 108.3 Å³/cell
- Crystal system: tetragonal

***

No. 5
Computed, not measured: a relaxed Sr3Ac2PuTe6 crystal at the PBE-GGA level of DFT.

Structure (extended XYZ):
```
12
Lattice="10.261 -2.335 0.000 10.261 2.335 0.000 -2.281 0.000 9.154" Properties=species:S:1:pos:R:3 pbc="T T T"
Sr 0.000 0.000 0.000
Sr 5.301 0.000 6.090
Sr 12.940 0.000 3.065
Ac 6.494 0.000 1.550
Ac 11.746 0.000 7.605
Pu -1.141 0.000 4.577
Te 2.032 0.000 5.296
Te 3.219 0.000 0.787
Te 8.538 0.000 6.766
Te 9.702 0.000 2.388
Te 15.021 0.000 8.367
Te 16.208 0.000 3.859
```

Results
- Size of the total moment: 6.2 μB per cell
- Final energy: -5.39 eV/atom
- Energy relative to the elements, uncorrected: -18.2 eV/f.u.
- ρ: 6.5 g/cm³
- V: 438.7 Å³/cell
- Crystal system: monoclinic

***

No. 6
Computed, not measured: a relaxed NaHgPbCl2 crystal at the PBE-GGA level of DFT.

Structure (extended XYZ):
```
5
Lattice="5.722 0.000 0.000 0.000 5.722 0.000 0.000 0.000 5.982" Properties=species:S:1:pos:R:3 pbc="T T T"
Na 0.000 0.000 0.000
Hg 2.861 2.861 0.000
Pb 2.861 2.861 2.991
Cl 0.000 2.861 2.991
Cl 2.861 0.000 2.991
```

Results
- Size of the total moment: 0.0 μB per cell
- Final energy: -2.45 eV/atom
- Energy relative to the elements, uncorrected: -3.2 eV/f.u.
- ρ: 4.3 g/cm³
- V: 195.9 Å³/cell
- Crystal system: tetragonal

***

No. 7
Computed, not measured: a relaxed NaZrInPt2 crystal at the PBE-GGA level of DFT.

Structure (extended XYZ):
```
5
Lattice="4.776 0.000 0.000 0.000 4.776 0.000 0.000 0.000 4.787" Properties=species:S:1:pos:R:3 pbc="T T T"
Na 0.000 0.000 0.000
Zr 0.000 0.000 2.393
In 2.388 2.388 2.393
Pt 0.000 2.388 0.000
Pt 2.388 0.000 0.000
```

Results
- Excess energy over the best structure of this formula in the dataset: 161 meV/atom
- Size of the total moment: 0.0 μB per cell
- Final energy: -3.97 eV/atom
- ρ: 9.4 g/cm³
- V: 109.2 Å³/cell
- Crystal system: tetragonal
- DFT formation energy: 4.8 eV/f.u.

***

No. 8
Computed, not measured: a relaxed Li2CaAlPt crystal at the PBE-GGA level of DFT.

Structure (extended XYZ):
```
5
Lattice="4.805 0.000 0.000 0.000 4.805 0.000 0.000 0.000 4.764" Properties=species:S:1:pos:R:3 pbc="T T T"
Li 0.000 2.403 0.000
Li 2.403 0.000 0.000
Ca 0.000 0.000 2.382
Al 2.403 2.403 2.382
Pt 2.403 2.403 0.000
```

Results
- Size of the total moment: 0.0 μB per cell
- Final energy: -3.52 eV/atom
- ρ: 4.2 g/cm³
- V: 110.0 Å³/cell
- Crystal system: tetragonal
- DFT formation energy: -2.0 eV/f.u.

***

Q: Look up the ρ of the fifth one.
A: 6.5 g/cm³